[1]
Below is an optimized crystal structure of Y2PbAu, with properties calculated at the GGA-PBE level.

The structure in POSCAR format:
```
Y2PbAu
1.0
-8.848 -2.907 -3.263
-6.807 -5.973 -3.919
-8.255 -5.382 -0.520
Pb Au Y
1 1 2
Direct
0.760 0.760 0.760
0.501 0.501 0.501
0.236 0.236 0.236
0.003 0.003 0.003
```

* electronic total energy: -5.218 eV per atom
* DFT formation energy: -0.24 eV/atom
* N(E_F): 2.8 states/eV per cell
* total moment: 0.98 μB per formula unit
* symmetry: R3m

[2]
Below is an optimized crystal structure of ScSi2Ru, with properties calculated at the GGA-PBE level.

The structure in POSCAR format:
```
ScSi2Ru
1.0
-2.854 -3.354 -3.068
0.325 -5.327 0.575
-1.073 4.703 2.354
Sc Si Ru
1 2 1
Direct
0.256 0.756 0.500
0.741 0.241 0.500
0.972 0.972 0.000
0.531 0.531 0.000
```

* electronic total energy: -6.994 eV per atom
* N(E_F): 1.5 states/eV per cell
* total moment: 0.00 μB per formula unit
* symmetry: Imm2
* formation energy without anion corrections: -147 kJ/mol of formula units

[3]
Below is an optimized crystal structure of Ni3IrSe8, with properties calculated at the GGA-PBE level.

The structure in POSCAR format:
```
Ni3IrSe8
1.0
7.288 0.000 0.000
-3.644 6.163 -1.353
0.000 1.063 4.881
Se Ni Ir
8 3 1
Direct
0.170 0.340 0.251
0.830 0.169 0.748
0.339 0.169 0.748
0.333 0.666 0.772
0.661 0.831 0.252
0.667 0.334 0.228
0.170 0.831 0.252
0.830 0.660 0.749
0.000 0.500 0.000
0.500 0.000 0.000
0.500 0.500 0.000
0.000 0.000 0.000
```

* electronic total energy: -4.780 eV per atom
* N(E_F): 4.8 states/eV per cell
* total moment: 0.00 μB per formula unit
* symmetry: C2/m
* formation energy without anion corrections: -316 kJ/mol of formula units